Record 1
{
  "formula": "FeWSe2Br",
  "functional": "PBE",
  "state": "relaxed",
  "lattice_angstrom": [[4.808, 0.000, 0.000], [0.000, 4.808, 0.000], [0.000, 0.000, 4.716]],
  "species": ["Se", "Se", "Br", "W", "Fe"],
  "frac_coords": [[0.000, 0.500, 0.000], [0.500, 0.000, 0.000], [0.000, 0.000, 0.500], [0.500, 0.500, 0.500], [0.000, 0.000, 0.000]],
  "polymorph_energy_mev_per_atom": 358.2,
  "n_ef_per_ev_cell": 8.4,
  "dft_energy_ev_per_atom": -4.864,
  "formation_energy_uncorrected_ev_per_atom": 1.15,
  "magnetic_moment_mub_per_atom": 1.245
}

Record 2
{
  "formula": "FeWSe2Br",
  "functional": "PBE",
  "state": "relaxed",
  "lattice_angstrom": [[-0.849, 4.805, -0.367], [-2.945, -0.812, -3.823], [-4.133, -0.479, 3.286]],
  "species": ["Se", "Se", "Br", "W", "Fe"],
  "frac_coords": [[0.000, 0.500, 0.000], [0.500, 0.000, 0.000], [0.000, 0.000, 0.500], [0.000, 0.000, 0.000], [0.500, 0.500, 0.500]],
  "polymorph_energy_mev_per_atom": 0.0,
  "n_ef_per_ev_cell": 9.3,
  "dft_energy_ev_per_atom": -5.222,
  "formation_energy_uncorrected_ev_per_atom": 0.79,
  "magnetic_moment_mub_per_atom": 0.889
}

Record 3
{
  "formula": "YFeSeBr2",
  "functional": "PBE",
  "state": "relaxed",
  "lattice_angstrom": [[5.523, 0.000, 0.000], [0.000, 5.523, 0.000], [0.000, 0.000, 5.568]],
  "species": ["Y", "Se", "Br", "Br", "Fe"],
  "frac_coords": [[0.000, 0.000, 0.000], [0.000, 0.000, 0.500], [0.000, 0.500, 0.000], [0.500, 0.000, 0.000], [0.500, 0.500, 0.500]],
  "polymorph_energy_mev_per_atom": 56.3,
  "n_ef_per_ev_cell": 9.5,
  "dft_energy_ev_per_atom": -4.698,
  "formation_energy_uncorrected_ev_per_atom": -0.35,
  "magnetic_moment_mub_per_atom": 0.841
}

Record 4
{
  "formula": "YFeSe2Br",
  "functional": "PBE",
  "state": "relaxed",
  "lattice_angstrom": [[5.490, 0.000, 0.000], [0.000, 5.490, 0.000], [0.000, 0.000, 5.427]],
  "species": ["Y", "Se", "Se", "Br", "Fe"],
  "frac_coords": [[0.000, 0.000, 0.000], [0.000, 0.500, 0.000], [0.500, 0.000, 0.000], [0.000, 0.000, 0.500], [0.500, 0.500, 0.500]],
  "polymorph_energy_mev_per_atom": 378.2,
  "n_ef_per_ev_cell": 7.6,
  "dft_energy_ev_per_atom": -4.839,
  "formation_energy_uncorrected_ev_per_atom": -0.13,
  "magnetic_moment_mub_per_atom": 0.734
}